Compound: ZrWSe2Br
Source: Alexandria via LeMat-Bulk
Functional: PBE
Structure: relaxed

- Energy relative to the lowest polymorph listed for this composition: 0 meV/atom
- D(E_F): 6.88 states/eV/cell
- E_form (uncorrected): 50.47 kJ per mole of atoms
- Total moment: 3.0 Bohr magnetons per cell

Cell: 4.919 4.919 5.109 Å, 90.00 90.00 90.00°
Element x y z (fractional)
1 Br 0.000 0.000 0.500
2 Se 0.000 0.500 0.000
3 Se 0.500 0.000 0.000
4 Zr 0.500 0.500 0.500
5 W 0.000 0.000 0.000